<w>
Compound: LaRe2Au
Source: Alexandria
Functional: PBE
Structure: optimized geometry

extended XYZ file:
```
4
Lattice="-1.2938 -2.3096 -0.8668 3.0620 -0.5140 -3.2009 3.6562 -3.5763 4.0717" Properties=species:S:1:pos:R:3 pbc="T T T"
Re 0.2449 -0.2395 0.2727
Au 1.7981 -2.3059 -1.0159
La 3.6263 -4.0940 1.0199
Re 1.5832 -1.5486 1.7632
```

Computed properties:
The crystal system is orthorhombic. The calculation puts the size of the total moment at 0.0 μB per formula unit.



<x>
Compound: LaRe2Au
Source: Alexandria
Functional: PBE
Structure: optimized geometry

extended XYZ file:
```
4
Lattice="5.5234 0.0168 0.0000 -2.2606 5.0396 0.0000 0.0000 0.0000 2.7087" Properties=species:S:1:pos:R:3 pbc="T T T"
Re 0.0000 0.0000 0.0000
Re 1.6314 2.5282 0.0000
La -1.1303 2.5198 1.3544
Au 2.7617 0.0084 1.3544
```

Computed properties:
The crystal system is orthorhombic. The calculation puts the size of the total moment at 0.0 μB per formula unit.



Which one is the least stable? From the structures above, <x>.